Compound: CdB4Pt
Source: OQMD
Functional: PBE-GGA
Structure: relaxed

Cell: 3.0857 3.0857 7.6524 Å, 90.00 90.00 120.00°
Space group P6/mmm (No. 191)
Symmetry-distinct sites (fractional):
Cd1 0.0000 0.0000 0.0000 (multiplicity 1)
B1 0.3333 0.6667 0.2710 (multiplicity 4)
Pt1 0.0000 0.0000 0.5000 (multiplicity 1)

Output
* size of the total moment: 0.0 μB per cell
* relative energy among the computed polymorphs: 0.20 eV/f.u.
* total DFT energy (no corrections): -0.3764 Ry per atom

Compound: CdB4Pt
Source: OQMD
Functional: PBE-GGA
Structure: relaxed

Cell: 2.8617 5.5297 7.9826 Å, 90.00 90.00 90.00°
Space group Immm (No. 71)
Symmetry-distinct sites (fractional):
Cd1 0.0000 0.0000 0.0000 (multiplicity 2)
B1 0.0000 0.3462 0.2397 (multiplicity 8)
Pt1 0.0000 0.0000 0.5000 (multiplicity 2)

Output
* size of the total moment: 0.0 μB per cell
* relative energy among the computed polymorphs: 0.00 eV/f.u.
* total DFT energy (no corrections): -0.3788 Ry per atom

Compound: CdBPt2
Source: OQMD
Functional: PBE-GGA
Structure: relaxed

Cell: 6.2375 6.2375 6.2375 Å, 90.00 90.00 90.00°
Space group F-43m (No. 216)
Symmetry-distinct sites (fractional):
Cd1 0.0000 0.0000 0.0000 (multiplicity 4)
B1 0.2500 0.2500 0.7500 (multiplicity 4)
Pt1 0.0000 0.0000 0.5000 (multiplicity 4)
Pt2 0.2500 0.2500 0.2500 (multiplicity 4)

Output
* size of the total moment: 0.0 μB per cell
* total DFT energy (no corrections): -0.3136 Ry per atom

Compound: CdBPt
Source: OQMD
Functional: PBE-GGA
Structure: relaxed

Cell: 5.9101 5.9101 5.9101 Å, 90.00 90.00 90.00°
Space group F-43m (No. 216)
Symmetry-distinct sites (fractional):
Cd1 0.0000 0.0000 0.0000 (multiplicity 4)
B1 0.0000 0.0000 0.5000 (multiplicity 4)
Pt1 0.2500 0.2500 0.7500 (multiplicity 4)

Output
* size of the total moment: 0.0 μB per cell
* relative energy among the computed polymorphs: 0.00 eV/f.u.
* total DFT energy (no corrections): -0.2773 Ry per atom

Compound: PuCdB
Source: OQMD
Functional: PBE-GGA
Structure: relaxed

Cell: 6.5821 6.5821 6.5821 Å, 90.00 90.00 90.00°
Space group F-43m (No. 216)
Symmetry-distinct sites (fractional):
Pu1 0.0000 0.0000 0.0000 (multiplicity 4)
Cd1 0.2500 0.2500 0.2500 (multiplicity 4)
B1 0.2500 0.2500 0.7500 (multiplicity 4)

Output
* size of the total moment: 22.3 μB per cell
* relative energy among the computed polymorphs: 2.65 eV/f.u.
* total DFT energy (no corrections): -0.4478 Ry per atom

Compound: PuCdB
Source: OQMD
Functional: PBE-GGA
Structure: relaxed

Cell: 6.1703 6.1703 6.1703 Å, 90.00 90.00 90.00°
Space group F-43m (No. 216)
Symmetry-distinct sites (fractional):
Pu1 0.0000 0.0000 0.0000 (multiplicity 4)
Cd1 0.0000 0.0000 0.5000 (multiplicity 4)
B1 0.2500 0.2500 0.7500 (multiplicity 4)

Output
* size of the total moment: 20.0 μB per cell
* relative energy among the computed polymorphs: 0.00 eV/f.u.
* total DFT energy (no corrections): -0.5126 Ry per atom

Compound: RbCdB4
Source: OQMD
Functional: PBE-GGA
Structure: relaxed

Cell: 2.8316 5.7670 10.0192 Å, 90.00 90.00 90.00°
Space group Immm (No. 71)
Symmetry-distinct sites (fractional):
Rb1 0.0000 0.0000 0.0000 (multiplicity 2)
Cd1 0.0000 0.0000 0.5000 (multiplicity 2)
B1 0.0000 0.3498 0.2434 (multiplicity 8)

Output
* relative energy among the computed polymorphs: 0.84 eV/f.u.
* total DFT energy (no corrections): -0.2988 Ry per atom

Compound: RbCdB4
Source: OQMD
Functional: PBE-GGA
Structure: relaxed

Cell: 3.1321 3.1321 9.1971 Å, 90.00 90.00 120.00°
Space group P6/mmm (No. 191)
Symmetry-distinct sites (fractional):
Rb1 0.0000 0.0000 0.0000 (multiplicity 1)
Cd1 0.0000 0.0000 0.5000 (multiplicity 1)
B1 0.3333 0.6667 0.2850 (multiplicity 4)

Output
* relative energy among the computed polymorphs: 0.00 eV/f.u.
* total DFT energy (no corrections): -0.3090 Ry per atom

Compound: CdRe2B
Source: OQMD
Functional: PBE-GGA
Structure: relaxed

Cell: 6.1164 6.1164 6.1164 Å, 90.00 90.00 90.00°
Space group F-43m (No. 216)
Symmetry-distinct sites (fractional):
Cd1 0.0000 0.0000 0.0000 (multiplicity 4)
Re1 0.0000 0.0000 0.5000 (multiplicity 4)
Re2 0.2500 0.2500 0.2500 (multiplicity 4)
B1 0.2500 0.2500 0.7500 (multiplicity 4)

Output
* size of the total moment: 0.0 μB per cell
* total DFT energy (no corrections): -0.5112 Ry per atom

Compound: CdReB
Source: OQMD
Functional: PBE-GGA
Structure: relaxed

Cell: 5.8679 5.8679 5.8679 Å, 90.00 90.00 90.00°
Space group F-43m (No. 216)
Symmetry-distinct sites (fractional):
Cd1 0.0000 0.0000 0.0000 (multiplicity 4)
Re1 0.2500 0.2500 0.7500 (multiplicity 4)
B1 0.0000 0.0000 0.5000 (multiplicity 4)

Output
* size of the total moment: 5.2 μB per cell
* relative energy among the computed polymorphs: 0.00 eV/f.u.
* total DFT energy (no corrections): -0.3649 Ry per atom

Compound: CdReB4
Source: OQMD
Functional: PBE-GGA
Structure: relaxed

Cell: 3.0346 5.3035 7.2185 Å, 90.00 90.00 90.00°
Space group Immm (No. 71)
Symmetry-distinct sites (fractional):
Cd1 0.0000 0.0000 0.0000 (multiplicity 2)
Re1 0.0000 0.0000 0.5000 (multiplicity 2)
B1 0.0000 0.3403 0.2484 (multiplicity 8)

Output
* size of the total moment: 0.0 μB per cell
* relative energy among the computed polymorphs: 1.21 eV/f.u.
* total DFT energy (no corrections): -0.4587 Ry per atom

Compound: CdReB4
Source: OQMD
Functional: PBE-GGA
Structure: relaxed

Cell: 2.9327 2.9327 9.3836 Å, 90.00 90.00 120.00°
Space group P6/mmm (No. 191)
Symmetry-distinct sites (fractional):
Cd1 0.0000 0.0000 0.0000 (multiplicity 1)
Re1 0.0000 0.0000 0.5000 (multiplicity 1)
B1 0.3333 0.6667 0.3188 (multiplicity 4)

Output
* size of the total moment: 0.0 μB per cell
* relative energy among the computed polymorphs: 0.00 eV/f.u.
* total DFT energy (no corrections): -0.4735 Ry per atom

Compound: CdReB2
Source: OQMD
Functional: PBE-GGA
Structure: relaxed

Cell: 5.9099 5.9099 5.9099 Å, 90.00 90.00 90.00°
Space group F-43m (No. 216)
Symmetry-distinct sites (fractional):
Cd1 0.0000 0.0000 0.0000 (multiplicity 4)
Re1 0.2500 0.2500 0.7500 (multiplicity 4)
B1 0.0000 0.0000 0.5000 (multiplicity 4)
B2 0.2500 0.2500 0.2500 (multiplicity 4)

Output
* size of the total moment: 0.1 μB per cell
* total DFT energy (no corrections): -0.3436 Ry per atom

Compound: CdBS
Source: OQMD
Functional: PBE-GGA
Structure: relaxed

Cell: 8.1414 8.1414 2.9862 Å, 90.00 90.00 120.00°
Space group P-6 (No. 174)
Symmetry-distinct sites (fractional):
Cd1 0.0000 0.0000 0.0000 (multiplicity 1)
Cd2 0.3333 0.6667 0.0000 (multiplicity 1)
Cd3 0.6667 0.3333 0.5000 (multiplicity 1)
B1 0.0966 0.3399 0.5000 (multiplicity 3)
S1 0.3790 0.0491 0.0000 (multiplicity 3)

Output
* total DFT energy (no corrections): -0.2422 Ry per atom

Compound: CdB4Sb
Source: OQMD
Functional: PBE-GGA
Structure: relaxed

Cell: 3.1134 3.1134 8.5362 Å, 90.00 90.00 120.00°
Space group P6/mmm (No. 191)
Symmetry-distinct sites (fractional):
Cd1 0.0000 0.0000 0.0000 (multiplicity 1)
B1 0.3333 0.6667 0.2390 (multiplicity 4)
Sb1 0.0000 0.0000 0.5000 (multiplicity 1)

Output
* relative energy among the computed polymorphs: 0.00 eV/f.u.
* total DFT energy (no corrections): -0.3445 Ry per atom

Compound: CdB4Sb
Source: OQMD
Functional: PBE-GGA
Structure: relaxed

Cell: 3.1151 5.4144 8.5716 Å, 90.00 90.00 90.00°
Space group Immm (No. 71)
Symmetry-distinct sites (fractional):
Cd1 0.0000 0.0000 0.0000 (multiplicity 2)
B1 0.0000 0.3321 0.2543 (multiplicity 8)
Sb1 0.0000 0.0000 0.5000 (multiplicity 2)

Output
* relative energy among the computed polymorphs: 0.07 eV/f.u.
* total DFT energy (no corrections): -0.3437 Ry per atom

Compound: ScCdB4
Source: OQMD
Functional: PBE-GGA
Structure: relaxed

Cell: 3.1557 3.1557 7.3810 Å, 90.00 90.00 120.00°
Space group P6/mmm (No. 191)
Symmetry-distinct sites (fractional):
Sc1 0.0000 0.0000 0.0000 (multiplicity 1)
Cd1 0.0000 0.0000 0.5000 (multiplicity 1)
B1 0.3333 0.6667 0.2292 (multiplicity 4)

Output
* size of the total moment: 0.0 μB per cell
* relative energy among the computed polymorphs: 0.15 eV/f.u.
* total DFT energy (no corrections): -0.4251 Ry per atom

Compound: Sc2CdB2
Source: OQMD
Functional: PBE-GGA
Structure: relaxed

Cell: 3.1688 13.3383 3.5028 Å, 90.00 90.00 90.00°
Space group Cmmm (No. 65)
Symmetry-distinct sites (fractional):
Sc1 0.0000 0.1480 0.0000 (multiplicity 4)
Cd1 0.0000 0.5000 0.5000 (multiplicity 2)
B1 0.0000 0.2772 0.5000 (multiplicity 4)

Output
* size of the total moment: 0.0 μB per cell
* total DFT energy (no corrections): -0.4351 Ry per atom

Compound: Sc2CdB
Source: OQMD
Functional: PBE-GGA
Structure: relaxed

Cell: 3.3446 3.3446 16.2038 Å, 90.00 90.00 120.00°
Space group P6_3/mmc (No. 194)
Symmetry-distinct sites (fractional):
Sc1 0.3333 0.6667 0.0879 (multiplicity 4)
Cd1 0.3333 0.6667 0.7500 (multiplicity 2)
B1 0.0000 0.0000 0.0000 (multiplicity 2)

Output
* size of the total moment: 0.3 μB per cell
* relative energy among the computed polymorphs: 0.00 eV/f.u.
* total DFT energy (no corrections): -0.3803 Ry per atom

Compound: ScCdB4
Source: OQMD
Functional: PBE-GGA
Structure: relaxed

Cell: 3.1356 5.3122 7.6000 Å, 90.00 90.00 90.00°
Space group Immm (No. 71)
Symmetry-distinct sites (fractional):
Sc1 0.0000 0.0000 0.0000 (multiplicity 2)
Cd1 0.0000 0.0000 0.5000 (multiplicity 2)
B1 0.0000 0.3257 0.2624 (multiplicity 8)

Output
* size of the total moment: 0.0 μB per cell
* relative energy among the computed polymorphs: 0.00 eV/f.u.
* total DFT energy (no corrections): -0.4269 Ry per atom